(1)
A plane-wave DFT calculation with PBE was carried out for Pm12Sn7Pb after structural relaxation.

Results
ΔH_f (0 K)	-380	meV per atom
M_tot	0.00	μB per formula unit

Geometry as CIF:
```
data_Pm12Sn7Pb
_chemical_formula_sum 'Pm36 Sn21 Pb3'
_space_group_name_H-M_alt 'R -3 m'
_space_group_IT_number 166
_space_group_name_Hall '-R 3 2"'
_cell_length_a 16.0574
_cell_length_b 16.0574
_cell_length_c 8.7183
_cell_angle_alpha 90.00
_cell_angle_beta 90.00
_cell_angle_gamma 120.00
loop_
_atom_site_label
_atom_site_fract_x
_atom_site_fract_y
_atom_site_fract_z
Pm1 0.0000 0.2731 0.0000
Pm2 0.1065 0.2131 0.3631
Sn1 0.0000 0.0000 0.5000
Sn2 0.1072 0.5536 0.4097
Pb1 0.0000 0.0000 0.0000
```

(2)
A plane-wave DFT calculation with PBE was carried out for Dy2AlCu3Ni12 after structural relaxation.

Results
ΔH_f (0 K)	156	meV per atom
M_tot	0.00	μB per formula unit

Geometry as CIF:
```
data_Dy2AlCu3Ni12
_chemical_formula_sum 'Dy6 Al3 Cu9 Ni36'
_space_group_name_H-M_alt 'R -3 m'
_space_group_IT_number 166
_space_group_name_Hall '-R 3 2"'
_cell_length_a 5.8907
_cell_length_b 5.8907
_cell_length_c 25.9484
_cell_angle_alpha 90.00
_cell_angle_beta 90.00
_cell_angle_gamma 120.00
loop_
_atom_site_label
_atom_site_fract_x
_atom_site_fract_y
_atom_site_fract_z
Dy1 0.0000 0.0000 0.1487
Al1 0.0000 0.0000 0.5000
Cu1 0.0000 0.5000 0.0000
Ni1 0.0449 0.5224 0.0971
Ni2 0.0728 0.5364 0.6157
```

(3)
A plane-wave DFT calculation with PBE was carried out for Mg2Hg2Pd5Au after structural relaxation.

Results
ΔH_f (0 K)	-242	meV per atom
M_tot	0.00	μB per formula unit

Geometry as CIF:
```
data_Mg2Hg2Pd5Au
_chemical_formula_sum 'Mg4 Hg4 Pd10 Au2'
_space_group_name_H-M_alt 'P 4/m b m'
_space_group_IT_number 127
_space_group_name_Hall '-P 4 2ab'
_cell_length_a 9.556
_cell_length_b 9.556
_cell_length_c 3.908
_cell_angle_alpha 90.00
_cell_angle_beta 90.00
_cell_angle_gamma 90.00
loop_
_atom_site_label
_atom_site_fract_x
_atom_site_fract_y
_atom_site_fract_z
Mg1 0.135 0.365 0.000
Hg1 0.161 0.661 0.000
Pd1 0.000 0.500 0.500
Pd2 0.111 0.179 0.500
Au1 0.000 0.000 0.000
```

(4)
A plane-wave DFT calculation with PBE was carried out for Tb7Mg2Pt2 after structural relaxation.

Results
ΔH_f (0 K)	-369	meV per atom
M_tot	0.00	μB per formula unit

Geometry as CIF:
```
data_Tb7Mg2Pt2
_chemical_formula_sum 'Tb14 Mg4 Pt4'
_space_group_name_H-M_alt 'C m m m'
_space_group_IT_number 65
_space_group_name_Hall '-C 2 2'
_cell_length_a 8.265
_cell_length_b 11.048
_cell_length_c 7.241
_cell_angle_alpha 90.00
_cell_angle_beta 90.00
_cell_angle_gamma 90.00
loop_
_atom_site_label
_atom_site_fract_x
_atom_site_fract_y
_atom_site_fract_z
Tb1 0.000 0.000 0.000
Tb2 0.000 0.500 0.245
Tb3 0.250 0.250 0.250
Mg1 0.172 0.000 0.500
Pt1 0.000 0.285 0.000
```

(5)
A plane-wave DFT calculation with PBE was carried out for SrSc2TlH after structural relaxation.

Results
calculated total energy	-4.134	eV per atom
M_tot	1.51	μB per formula unit

Geometry as CIF:
```
data_SrSc2TlH
_chemical_formula_sum 'Sr1 Sc2 Tl1 H1'
_space_group_name_H-M_alt 'P 4/m m m'
_space_group_IT_number 123
_space_group_name_Hall '-P 4 2'
_cell_length_a 4.746
_cell_length_b 4.746
_cell_length_c 4.874
_cell_angle_alpha 90.00
_cell_angle_beta 90.00
_cell_angle_gamma 90.00
loop_
_atom_site_label
_atom_site_fract_x
_atom_site_fract_y
_atom_site_fract_z
Sr1 0.000 0.000 0.000
Sc1 0.000 0.500 0.500
Tl1 0.500 0.500 0.000
H1 0.000 0.000 0.500
```

(6)
A plane-wave DFT calculation with PBE was carried out for TaTl3Ga after structural relaxation.

Results
ΔH_f (0 K)	717	meV per atom
M_tot	0.00	μB per formula unit
excess energy over the best structure of this formula in the dataset	0	meV per atom

Geometry as CIF:
```
data_TaTl3Ga
_chemical_formula_sum 'Ta1 Tl3 Ga1'
_space_group_name_H-M_alt 'P m -3 m'
_space_group_IT_number 221
_space_group_name_Hall '-P 4 2 3'
_cell_length_a 5.504
_cell_length_b 5.504
_cell_length_c 5.504
_cell_angle_alpha 90.00
_cell_angle_beta 90.00
_cell_angle_gamma 90.00
loop_
_atom_site_label
_atom_site_fract_x
_atom_site_fract_y
_atom_site_fract_z
Ta1 0.000 0.000 0.000
Tl1 0.000 0.000 0.500
Ga1 0.500 0.500 0.500
```

- Which value of M_tot does entry 3 give?
  0.00 μB per formula unit